*a*
Density functional theory data (GGA-PBE) for a relaxed Fe2GeBr crystal.

Lattice parameters (Å, degrees): 6.221 6.221 8.276 90.00 90.00 90.00
Space group I-42d (No. 122)
Inequivalent atoms, fractional coordinates:
Fe 0.239 0.250 0.125 x8
Ge 0.000 0.000 0.000 x4
Br 0.000 0.000 0.500 x4


*b*
Density functional theory data (GGA-PBE) for a relaxed Fe2GeBr crystal.

Lattice parameters (Å, degrees): 6.219 6.219 6.219 90.00 90.00 90.00
Space group Fm-3m (No. 225)
Inequivalent atoms, fractional coordinates:
Fe 0.250 0.250 0.250 x8
Ge 0.000 0.000 0.000 x4
Br 0.000 0.000 0.500 x4


Tell me which of them is the least stable. Sure, it is *b*.


*a*
Density functional theory data (GGA-PBE) for a relaxed FeGeSeBr2 crystal.

Lattice parameters (Å, degrees): 5.213 5.213 5.172 90.00 90.00 90.00
Space group P4/mmm (No. 123)
Inequivalent atoms, fractional coordinates:
Fe 0.000 0.000 0.000 x1
Ge 0.500 0.500 0.500 x1
Se 0.500 0.500 0.000 x1
Br 0.000 0.500 0.500 x2


*b*
Density functional theory data (GGA-PBE) for a relaxed FeGeSeBr2 crystal.

Lattice parameters (Å, degrees): 4.965 4.965 4.941 90.00 90.00 90.00
Space group P4/mmm (No. 123)
Inequivalent atoms, fractional coordinates:
Fe 0.000 0.000 0.000 x1
Ge 0.500 0.500 0.500 x1
Se 0.000 0.000 0.500 x1
Br 0.000 0.500 0.000 x2


Tell me which of them is the least stable. Sure, it is *a*.